[1]
# PBEsol MgPt2, relaxed
# crystal system = orthorhombic
# formation energy from the elements = -0.597 eV/atom
data_MgPt2
_cell_length_a 3.900
_cell_length_b 11.943
_cell_length_c 3.925
_cell_angle_alpha 90.00
_cell_angle_beta 90.00
_cell_angle_gamma 90.00
_symmetry_space_group_name_H-M 'C m c m'
_symmetry_Int_Tables_number 63
_symmetry_space_group_name_Hall '-C 2c 2'
loop_
_atom_site_label
_atom_site_type_symbol
_atom_site_fract_x
_atom_site_fract_y
_atom_site_fract_z
Mg1 Mg 0.000 0.089 0.250
Pt1 Pt 0.000 0.255 0.750
Pt2 Pt 0.000 0.418 0.250

---

[2]
# PBEsol MgPt3, relaxed
# crystal system = orthorhombic
# formation energy from the elements = -0.499 eV/atom
data_MgPt3
_cell_length_a 4.830
_cell_length_b 9.089
_cell_length_c 5.505
_cell_angle_alpha 90.00
_cell_angle_beta 90.00
_cell_angle_gamma 90.00
_symmetry_space_group_name_H-M 'P n m a'
_symmetry_Int_Tables_number 62
loop_
_symmetry_equiv_pos_as_xyz
'x,y,z'
'-x,-y,-z'
'-x+1/2,-y,z+1/2'
'x+1/2,y,-z+1/2'
'x+1/2,-y+1/2,-z+1/2'
'-x+1/2,y+1/2,z+1/2'
'-x,y+1/2,-z'
'x,-y+1/2,z'
loop_
_atom_site_label
_atom_site_type_symbol
_atom_site_fract_x
_atom_site_fract_y
_atom_site_fract_z
Mg1 Mg 0.091 0.250 0.107
Pt1 Pt 0.098 0.250 0.610
Pt2 Pt 0.246 0.000 0.369

---

[3]
# PBEsol Mg2Pt, relaxed
# crystal system = cubic
# formation energy from the elements = -0.557 eV/atom
data_Mg2Pt
_cell_length_a 6.219
_cell_length_b 6.219
_cell_length_c 6.219
_cell_angle_alpha 90.00
_cell_angle_beta 90.00
_cell_angle_gamma 90.00
_symmetry_space_group_name_H-M 'F m -3 m'
_symmetry_Int_Tables_number 225
_symmetry_space_group_name_Hall '-F 4 2 3'
loop_
_atom_site_label
_atom_site_type_symbol
_atom_site_fract_x
_atom_site_fract_y
_atom_site_fract_z
Mg1 Mg 0.250 0.250 0.250
Pt1 Pt 0.000 0.000 0.000

---

[4]
# PBEsol Mg5Pt, relaxed
# crystal system = tetragonal
# formation energy from the elements = -0.272 eV/atom
data_Mg5Pt
_cell_length_a 3.160
_cell_length_b 3.160
_cell_length_c 12.079
_cell_angle_alpha 90.00
_cell_angle_beta 90.00
_cell_angle_gamma 90.00
_symmetry_space_group_name_H-M 'P 4/m m m'
_symmetry_Int_Tables_number 123
_symmetry_space_group_name_Hall '-P 4 2'
loop_
_atom_site_label
_atom_site_type_symbol
_atom_site_fract_x
_atom_site_fract_y
_atom_site_fract_z
Mg1 Mg 0.000 0.000 0.000
Mg2 Mg 0.000 0.000 0.373
Mg3 Mg 0.500 0.500 0.184
Pt1 Pt 0.500 0.500 0.500

---

[5]
# PBEsol MgPt2, relaxed
# crystal system = orthorhombic
# formation energy from the elements = -0.526 eV/atom
data_MgPt2
_cell_length_a 2.811
_cell_length_b 14.335
_cell_length_c 4.561
_cell_angle_alpha 90.00
_cell_angle_beta 90.00
_cell_angle_gamma 90.00
_symmetry_space_group_name_H-M 'C m c m'
_symmetry_Int_Tables_number 63
_symmetry_space_group_name_Hall '-C 2c 2'
loop_
_atom_site_label
_atom_site_type_symbol
_atom_site_fract_x
_atom_site_fract_y
_atom_site_fract_z
Mg1 Mg 0.000 0.104 0.250
Pt1 Pt 0.000 0.233 0.750
Pt2 Pt 0.000 0.440 0.250

---

[6]
# PBEsol MgPt3, relaxed
# crystal system = cubic
# formation energy from the elements = -0.568 eV/atom
data_MgPt3
_cell_length_a 3.909
_cell_length_b 3.909
_cell_length_c 3.909
_cell_angle_alpha 90.00
_cell_angle_beta 90.00
_cell_angle_gamma 90.00
_symmetry_space_group_name_H-M 'P m -3 m'
_symmetry_Int_Tables_number 221
_symmetry_space_group_name_Hall '-P 4 2 3'
loop_
_atom_site_label
_atom_site_type_symbol
_atom_site_fract_x
_atom_site_fract_y
_atom_site_fract_z
Mg1 Mg 0.000 0.000 0.000
Pt1 Pt 0.000 0.500 0.500

---

[7]
# PBEsol MgPt, relaxed
# crystal system = trigonal
# formation energy from the elements = -0.276 eV/atom
data_MgPt
_cell_length_a 2.8953
_cell_length_b 2.8953
_cell_length_c 9.1076
_cell_angle_alpha 90.00
_cell_angle_beta 90.00
_cell_angle_gamma 120.00
_symmetry_space_group_name_H-M 'P -3 m 1'
_symmetry_Int_Tables_number 164
_symmetry_space_group_name_Hall '-P 3 2"'
loop_
_atom_site_label
_atom_site_type_symbol
_atom_site_fract_x
_atom_site_fract_y
_atom_site_fract_z
Mg1 Mg 0.3333 0.6667 0.3526
Pt1 Pt 0.3333 0.6667 0.8732

---

[8]
# PBEsol MgPt2, relaxed
# crystal system = hexagonal
# formation energy from the elements = -0.563 eV/atom
data_MgPt2
_cell_length_a 4.8326
_cell_length_b 4.8326
_cell_length_c 4.5157
_cell_angle_alpha 90.00
_cell_angle_beta 90.00
_cell_angle_gamma 120.00
_symmetry_space_group_name_H-M 'P -6 2 m'
_symmetry_Int_Tables_number 189
_symmetry_space_group_name_Hall 'P -6 -2'
loop_
_atom_site_label
_atom_site_type_symbol
_atom_site_fract_x
_atom_site_fract_y
_atom_site_fract_z
Mg1 Mg 0.3333 0.6667 0.0000
Pt1 Pt 0.0000 0.0000 0.0000
Pt2 Pt 0.0000 0.6667 0.5000